(1)
First-principles (PBE) data for an optimized crystal structure of NaW3Se, as listed in the Alexandria database.

Calculated values
ΔE_f (raw) ... 8.73 eV per formula unit
Final energy ... -6.986 eV per atom
Crystal system ... cubic

Unit cell a=4.6775 b=4.6775 c=4.6775 alpha=90.00 beta=90.00 gamma=90.00
With the nearest neighbours (Å) after each atom.
Space group Pm-3m (No. 221)
Symmetry-distinct sites (fractional):
Na 0.0000 0.0000 0.0000 x1  12 W 3.31
W 0.0000 0.5000 0.5000 x3  2 Se 2.34
Se 0.5000 0.5000 0.5000 x1  6 W 2.34

(2)
First-principles (PBE) data for an optimized crystal structure of NaWSe2, as listed in the Alexandria database.

Calculated values
ΔE_f (raw) ... -1.02 eV per formula unit
E above lowest polymorph ... 0.00 eV/f.u.
Final energy ... -5.566 eV per atom
Crystal system ... trigonal

Unit cell a=3.3805 b=3.3805 c=28.0372 alpha=90.00 beta=90.00 gamma=120.00
With the nearest neighbours (Å) after each atom.
Space group R-3m (No. 166, hexagonal axes)
Symmetry-distinct sites (fractional):
Na 0.0000 0.0000 0.0000 x3  2 Se 2.98
W 0.0000 0.0000 0.5000 x3  6 Se 2.58
Se 0.0000 0.0000 0.1064 x6  3 W 2.58

(3)
First-principles (PBE) data for an optimized crystal structure of NaWSe2, as listed in the Alexandria database.

Calculated values
ΔE_f (raw) ... 0.32 eV per formula unit
E above lowest polymorph ... 1.34 eV/f.u.
Final energy ... -5.231 eV per atom
Crystal system ... cubic

Unit cell a=6.5365 b=6.5365 c=6.5365 alpha=90.00 beta=90.00 gamma=90.00
With the nearest neighbours (Å) after each atom.
Space group Fm-3m (No. 225)
Symmetry-distinct sites (fractional):
Na 0.0000 0.0000 0.0000 x4  8 Se 2.83
W 0.0000 0.0000 0.5000 x4  8 Se 2.83
Se 0.2500 0.2500 0.2500 x8  4 W 2.83, 4 Na 2.83

(4)
First-principles (PBE) data for an optimized crystal structure of NaWSe2, as listed in the Alexandria database.

Calculated values
ΔE_f (raw) ... -0.43 eV per formula unit
E above lowest polymorph ... 0.59 eV/f.u.
Final energy ... -5.418 eV per atom
Crystal system ... tetragonal

Unit cell a=6.4076 b=6.4076 c=11.1361 alpha=90.00 beta=90.00 gamma=90.00
With the nearest neighbours (Å) after each atom.
Space group I-42d (No. 122)
Symmetry-distinct sites (fractional):
Na 0.0000 0.0000 0.0000 x4  4 Se 2.93
W 0.0000 0.0000 0.5000 x4  4 Se 2.43
Se 0.1847 0.2500 0.6250 x8  2 W 2.43

(5)
First-principles (PBE) data for an optimized crystal structure of NaW3Se6, as listed in the Alexandria database.

Calculated values
ΔE_f (raw) ... -4.56 eV per formula unit
Final energy ... -6.564 eV per atom
Crystal system ... monoclinic

Unit cell a=12.0003 b=3.3732 c=13.4028 alpha=90.00 beta=97.23 gamma=90.00
With the nearest neighbours (Å) after each atom.
Space group P2_1/m (No. 11)
Symmetry-distinct sites (fractional):
Na 0.1570 0.2500 0.4391 x2  5 Se 2.91-3.14
W 0.0606 0.7500 0.8810 x2  6 Se 2.54-2.67, 2 W 2.83
W 0.1529 0.2500 0.7433 x2  6 Se 2.53-2.79, 2 W 2.83
W 0.4700 0.7500 0.5777 x2  5 Se 2.51-2.56
Se 0.0529 0.7500 0.2322 x2  3 W 2.53-2.55
Se 0.0928 0.7500 0.5997 x2  2 W 2.59
Se 0.1238 0.2500 0.0267 x2  3 W 2.62-2.67
Se 0.2674 0.7500 0.8568 x2  3 W 2.54-2.55
Se 0.3544 0.2500 0.6604 x2  3 W 2.53-2.79
Se 0.3685 0.7500 0.4024 x2  3 W 2.51-2.56

(6)
First-principles (PBE) data for an optimized crystal structure of Na3WSe, as listed in the Alexandria database.

Calculated values
ΔE_f (raw) ... 3.75 eV per formula unit
E above lowest polymorph ... 0.00 eV/f.u.
Final energy ... -3.330 eV per atom
Crystal system ... cubic

Unit cell a=5.4964 b=5.4964 c=5.4964 alpha=90.00 beta=90.00 gamma=90.00
With the nearest neighbours (Å) after each atom.
Space group Pm-3m (No. 221)
Symmetry-distinct sites (fractional):
Na 0.0000 0.0000 0.5000 x3  2 Se 2.75
W 0.5000 0.5000 0.5000 x1  12 Na 3.89
Se 0.0000 0.0000 0.0000 x1  6 Na 2.75

(7)
First-principles (PBE) data for an optimized crystal structure of NaY4Se5, as listed in the Alexandria database.

Calculated values
ΔE_f (raw) ... -17.52 eV per formula unit
Final energy ... -6.212 eV per atom
Crystal system ... orthorhombic

Unit cell a=4.1099 b=5.7776 c=20.6198 alpha=90.00 beta=90.00 gamma=90.00
With the nearest neighbours (Å) after each atom.
Space group Immm (No. 71)
Symmetry-distinct sites (fractional):
Na 0.0000 0.0000 0.0000 x2  6 Se 2.89-2.96
Y 0.0000 0.0000 0.2040 x4  6 Se 2.88-2.92
Y 0.0000 0.0000 0.3992 x4  6 Se 2.88-2.92
Se 0.0000 0.5000 0.0000 x2  2 Na 2.89, 4 Y 2.92
Se 0.0000 0.5000 0.1984 x4  6 Y 2.88-2.89
Se 0.0000 0.5000 0.3965 x4  4 Y 2.89-2.92, 2 Na 2.96

(8)
First-principles (PBE) data for an optimized crystal structure of NaYSe2, as listed in the Alexandria database.

Calculated values
ΔE_f (raw) ... -5.91 eV per formula unit
Final energy ... -5.165 eV per atom
Crystal system ... tetragonal

Unit cell a=6.7150 b=6.7150 c=12.3595 alpha=90.00 beta=90.00 gamma=90.00
With the nearest neighbours (Å) after each atom.
Space group I-42d (No. 122)
Symmetry-distinct sites (fractional):
Na 0.0000 0.0000 0.0000 x4  4 Se 2.94
Y 0.0000 0.0000 0.5000 x4  4 Se 2.74
Se 0.2248 0.2500 0.6250 x8  2 Y 2.74, 2 Na 2.94

(9)
First-principles (PBE) data for an optimized crystal structure of NaYSe2, as listed in the Alexandria database.

Calculated values
ΔE_f (raw) ... -6.78 eV per formula unit
Final energy ... -5.384 eV per atom
Crystal system ... hexagonal

Unit cell a=4.1343 b=4.1343 c=14.3314 alpha=90.00 beta=90.00 gamma=120.00
With the nearest neighbours (Å) after each atom.
Space group P6_3/mmc (No. 194)
Symmetry-distinct sites (fractional):
Na 0.3333 0.6667 0.2500 x2  6 Se 3.09
Y 0.0000 0.0000 0.0000 x2  6 Se 2.88
Se 0.3333 0.6667 0.6129 x4  3 Y 2.88, 3 Na 3.09

(10)
First-principles (PBE) data for an optimized crystal structure of NaY3Se4, as listed in the Alexandria database.

Calculated values
ΔE_f (raw) ... -13.93 eV per formula unit
E above lowest polymorph ... 0.03 eV/f.u.
Final energy ... -6.073 eV per atom
Crystal system ... tetragonal

Unit cell a=5.7927 b=5.7927 c=11.6268 alpha=90.00 beta=90.00 gamma=90.00
With the nearest neighbours (Å) after each atom.
Space group I4/mmm (No. 139)
Symmetry-distinct sites (fractional):
Na 0.0000 0.0000 0.0000 x2  6 Se 2.90
Y 0.0000 0.0000 0.5000 x2  6 Se 2.90-2.91
Y 0.0000 0.5000 0.2500 x4  6 Se 2.90-2.91
Se 0.0000 0.0000 0.2499 x4  5 Y 2.90-2.91, 1 Na 2.90
Se 0.0000 0.5000 0.0000 x4  2 Na 2.90, 4 Y 2.90-2.91

(11)
First-principles (PBE) data for an optimized crystal structure of NaYSe, as listed in the Alexandria database.

Calculated values
ΔE_f (raw) ... -2.55 eV per formula unit
Final energy ... -4.605 eV per atom
Crystal system ... monoclinic

Unit cell a=8.9328 b=4.1855 c=11.7266 alpha=90.00 beta=90.99 gamma=90.00
With the nearest neighbours (Å) after each atom.
Space group Cm (No. 8)
Symmetry-distinct sites (fractional):
Na 0.0000 0.0000 0.0000 x2  1 Se 2.93
Na 0.2127 0.5000 0.1994 x2  1 Se 2.93
Y 0.0100 0.0000 0.5006 x2  4 Se 2.77-2.93
Y 0.2007 0.5000 0.6986 x2  4 Se 2.77-2.93
Se 0.0041 0.0000 0.7500 x2  4 Y 2.77-2.93, 1 Na 2.93
Se 0.2067 0.5000 0.4493 x2  4 Y 2.77-2.93, 1 Na 2.93

(12)
First-principles (PBE) data for an optimized crystal structure of NaY4Se2, as listed in the Alexandria database.

Calculated values
ΔE_f (raw) ... -0.40 eV per formula unit
Final energy ... -4.935 eV per atom
Crystal system ... tetragonal

Unit cell a=5.3753 b=5.3753 c=15.0888 alpha=90.00 beta=90.00 gamma=90.00
With the nearest neighbours (Å) after each atom.
Space group I4/mmm (No. 139)
Symmetry-distinct sites (fractional):
Na 0.0000 0.0000 0.0000 x2  4 Y 2.69
Y 0.0000 0.0000 0.2164 x4  1 Se 2.69
Y 0.0000 0.5000 0.0000 x4  2 Na 2.69
Se 0.0000 0.0000 0.3944 x4  1 Y 2.69